# Li2ErZrSe4, optimized geometry, DFT PBE
# formation energy from raw total energies	-1489	meV/atom
data_Li2ErZrSe4
_chemical_formula_sum 'Li2 Er1 Zr1 Se4'
_cell_length_a 6.790
_cell_length_b 3.886
_cell_length_c 6.907
_cell_angle_alpha 90.00
_cell_angle_beta 108.96
_cell_angle_gamma 90.00
_symmetry_space_group_name_H-M 'P 1 2/m 1'
_symmetry_Int_Tables_number 10
loop_
_symmetry_equiv_pos_as_xyz
'x,y,z'
'-x,-y,-z'
'-x,y,-z'
'x,-y,z'
loop_
_atom_site_label
_atom_site_type_symbol
_atom_site_fract_x
_atom_site_fract_y
_atom_site_fract_z
Li1 Li 0.000 0.000 0.000
Li2 Li 0.500 0.500 0.000
Er1 Er 0.000 0.500 0.500
Zr1 Zr 0.500 0.000 0.500
Se1 Se 0.256 0.500 0.249
Se2 Se 0.260 0.000 0.754

# Li2ErZr2Se6, optimized geometry, DFT PBE
# formation energy from raw total energies	-1453	meV/atom
data_Li2ErZr2Se6
_chemical_formula_sum 'Li4 Er2 Zr4 Se12'
_cell_length_a 6.687
_cell_length_b 11.645
_cell_length_c 6.935
_cell_angle_alpha 90.00
_cell_angle_beta 108.84
_cell_angle_gamma 90.00
_symmetry_space_group_name_H-M 'C 1 2/m 1'
_symmetry_Int_Tables_number 12
loop_
_symmetry_equiv_pos_as_xyz
'x,y,z'
'-x,-y,-z'
'-x,y,-z'
'x,-y,z'
'x+1/2,y+1/2,z'
'-x+1/2,-y+1/2,-z'
'-x+1/2,y+1/2,-z'
'x+1/2,-y+1/2,z'
loop_
_atom_site_label
_atom_site_type_symbol
_atom_site_fract_x
_atom_site_fract_y
_atom_site_fract_z
Li1 Li 0.000 0.165 0.000
Er1 Er 0.000 0.000 0.500
Zr1 Zr 0.000 0.334 0.500
Se1 Se 0.240 0.500 0.749
Se2 Se 0.246 0.328 0.252

# LiErSi2, optimized geometry, DFT PBE
# formation energy from raw total energies	-550	meV/atom
# offset from the most stable computed form	0.0	meV per atom
data_LiErSi2
_chemical_formula_sum 'Li4 Er4 Si8'
_cell_length_a 7.616
_cell_length_b 3.755
_cell_length_c 10.134
_cell_angle_alpha 90.00
_cell_angle_beta 90.00
_cell_angle_gamma 90.00
_symmetry_space_group_name_H-M 'P n m a'
_symmetry_Int_Tables_number 62
loop_
_symmetry_equiv_pos_as_xyz
'x,y,z'
'-x,-y,-z'
'-x+1/2,-y,z+1/2'
'x+1/2,y,-z+1/2'
'x+1/2,-y+1/2,-z+1/2'
'-x+1/2,y+1/2,z+1/2'
'-x,y+1/2,-z'
'x,-y+1/2,z'
loop_
_atom_site_label
_atom_site_type_symbol
_atom_site_fract_x
_atom_site_fract_y
_atom_site_fract_z
Li1 Li 0.012 0.250 0.106
Er1 Er 0.139 0.750 0.362
Si1 Si 0.154 0.750 0.681
Si2 Si 0.237 0.750 0.066

# LiErSi2, optimized geometry, DFT PBE
# formation energy from raw total energies	-399	meV/atom
# offset from the most stable computed form	151.0	meV per atom
data_LiErSi2
_chemical_formula_sum 'Li1 Er1 Si2'
_cell_length_a 4.104
_cell_length_b 4.104
_cell_length_c 4.125
_cell_angle_alpha 90.00
_cell_angle_beta 90.00
_cell_angle_gamma 90.00
_symmetry_space_group_name_H-M 'P 4/m m m'
_symmetry_Int_Tables_number 123
_symmetry_space_group_name_Hall '-P 4 2'
loop_
_atom_site_label
_atom_site_type_symbol
_atom_site_fract_x
_atom_site_fract_y
_atom_site_fract_z
Li1 Li 0.000 0.000 0.000
Er1 Er 0.500 0.500 0.000
Si1 Si 0.000 0.500 0.500

# Li3ErSi3, optimized geometry, DFT PBE
# formation energy from raw total energies	486	meV/atom
data_Li3ErSi3
_chemical_formula_sum 'Li6 Er2 Si6'
_cell_length_a 6.487
_cell_length_b 6.487
_cell_length_c 6.487
_cell_angle_alpha 90.00
_cell_angle_beta 90.00
_cell_angle_gamma 90.00
_symmetry_space_group_name_H-M 'P m -3 n'
_symmetry_Int_Tables_number 223
_symmetry_space_group_name_Hall '-P 4n 2 3'
loop_
_atom_site_label
_atom_site_type_symbol
_atom_site_fract_x
_atom_site_fract_y
_atom_site_fract_z
Li1 Li 0.000 0.250 0.500
Er1 Er 0.000 0.000 0.000
Si1 Si 0.000 0.500 0.250

# LiEr2Si2, optimized geometry, DFT PBE
# formation energy from raw total energies	-607	meV/atom
data_LiEr2Si2
_chemical_formula_sum 'Li2 Er4 Si4'
_cell_length_a 4.219
_cell_length_b 5.882
_cell_length_c 8.322
_cell_angle_alpha 90.00
_cell_angle_beta 90.00
_cell_angle_gamma 90.00
_symmetry_space_group_name_H-M 'I m m m'
_symmetry_Int_Tables_number 71
_symmetry_space_group_name_Hall '-I 2 2'
loop_
_atom_site_label
_atom_site_type_symbol
_atom_site_fract_x
_atom_site_fract_y
_atom_site_fract_z
Li1 Li 0.000 0.000 0.000
Er1 Er 0.000 0.500 0.210
Si1 Si 0.000 0.206 0.500

# LiErSi, optimized geometry, DFT PBE
# formation energy from raw total energies	-244	meV/atom
data_LiErSi
_chemical_formula_sum 'Li4 Er4 Si4'
_cell_length_a 7.040
_cell_length_b 4.061
_cell_length_c 8.829
_cell_angle_alpha 90.00
_cell_angle_beta 90.06
_cell_angle_gamma 90.00
_symmetry_space_group_name_H-M 'C 1 2/m 1'
_symmetry_Int_Tables_number 12
loop_
_symmetry_equiv_pos_as_xyz
'x,y,z'
'-x,-y,-z'
'-x,y,-z'
'x,-y,z'
'x+1/2,y+1/2,z'
'-x+1/2,-y+1/2,-z'
'-x+1/2,y+1/2,-z'
'x+1/2,-y+1/2,z'
loop_
_atom_site_label
_atom_site_type_symbol
_atom_site_fract_x
_atom_site_fract_y
_atom_site_fract_z
Li1 Li 0.167 0.000 0.040
Er1 Er 0.166 0.000 0.668
Si1 Si 0.000 0.500 0.137

# LiErSi4, optimized geometry, DFT PBE
# formation energy from raw total energies	-260	meV/atom
data_LiErSi4
_chemical_formula_sum 'Li4 Er4 Si16'
_cell_length_a 7.328
_cell_length_b 7.328
_cell_length_c 7.328
_cell_angle_alpha 90.00
_cell_angle_beta 90.00
_cell_angle_gamma 90.00
_symmetry_space_group_name_H-M 'F -4 3 m'
_symmetry_Int_Tables_number 216
_symmetry_space_group_name_Hall 'F -4 2 3'
loop_
_atom_site_label
_atom_site_type_symbol
_atom_site_fract_x
_atom_site_fract_y
_atom_site_fract_z
Li1 Li 0.000 0.000 0.000
Er1 Er 0.250 0.250 0.750
Si1 Si 0.127 0.127 0.373

# Li2ErSi, optimized geometry, DFT PBE
# formation energy from raw total energies	-248	meV/atom
data_Li2ErSi
_chemical_formula_sum 'Li8 Er4 Si4'
_cell_length_a 6.372
_cell_length_b 6.372
_cell_length_c 6.372
_cell_angle_alpha 90.00
_cell_angle_beta 90.00
_cell_angle_gamma 90.00
_symmetry_space_group_name_H-M 'F m -3 m'
_symmetry_Int_Tables_number 225
_symmetry_space_group_name_Hall '-F 4 2 3'
loop_
_atom_site_label
_atom_site_type_symbol
_atom_site_fract_x
_atom_site_fract_y
_atom_site_fract_z
Li1 Li 0.250 0.250 0.250
Er1 Er 0.000 0.000 0.000
Si1 Si 0.000 0.000 0.500

# LiErSi, optimized geometry, DFT PBE
# formation energy from raw total energies	-166	meV/atom
data_LiErSi
_chemical_formula_sum 'Li2 Er2 Si2'
_cell_length_a 3.887
_cell_length_b 3.887
_cell_length_c 8.151
_cell_angle_alpha 90.00
_cell_angle_beta 90.00
_cell_angle_gamma 90.00
_symmetry_space_group_name_H-M 'I 4 m m'
_symmetry_Int_Tables_number 107
_symmetry_space_group_name_Hall 'I 4 -2'
loop_
_atom_site_label
_atom_site_type_symbol
_atom_site_fract_x
_atom_site_fract_y
_atom_site_fract_z
Li1 Li 0.000 0.000 0.000
Er1 Er 0.000 0.000 0.672
Si1 Si 0.000 0.000 0.314

# LiErSi, optimized geometry, DFT PBE
# formation energy from raw total energies	-582	meV/atom
data_LiErSi
_chemical_formula_sum 'Li6 Er6 Si6'
_cell_length_a 6.971
_cell_length_b 4.227
_cell_length_c 11.879
_cell_angle_alpha 90.00
_cell_angle_beta 90.18
_cell_angle_gamma 90.00
_symmetry_space_group_name_H-M 'P 1 21/m 1'
_symmetry_Int_Tables_number 11
loop_
_symmetry_equiv_pos_as_xyz
'x,y,z'
'-x,-y,-z'
'-x,y+1/2,-z'
'x,-y+1/2,z'
loop_
_atom_site_label
_atom_site_type_symbol
_atom_site_fract_x
_atom_site_fract_y
_atom_site_fract_z
Li1 Li 0.002 0.250 0.411
Li2 Li 0.153 0.750 0.959
Li3 Li 0.347 0.250 0.297
Er1 Er 0.013 0.750 0.196
Er2 Er 0.337 0.250 0.579
Er3 Er 0.486 0.250 0.869
Si1 Si 0.235 0.250 0.072
Si2 Si 0.243 0.750 0.406
Si3 Si 0.268 0.750 0.748

# LiErSi, optimized geometry, DFT PBE
# formation energy from raw total energies	-450	meV/atom
data_LiErSi
_chemical_formula_sum 'Li1 Er1 Si1'
_cell_length_a 4.3721
_cell_length_b 4.3721
_cell_length_c 3.4436
_cell_angle_alpha 90.00
_cell_angle_beta 90.00
_cell_angle_gamma 120.00
_symmetry_space_group_name_H-M 'P -6 m 2'
_symmetry_Int_Tables_number 187
_symmetry_space_group_name_Hall 'P -6 2'
loop_
_atom_site_label
_atom_site_type_symbol
_atom_site_fract_x
_atom_site_fract_y
_atom_site_fract_z
Li1 Li 0.0000 0.0000 0.0000
Er1 Er 0.3333 0.6667 0.5000
Si1 Si 0.6667 0.3333 0.0000

no.,DFT total energy (eV for the cell shown)
1,-42.8
2,-124.8
3,-78.1
4,-18.9
5,-46.3
6,-49.8
7,-50.5
8,-118.9
9,-59.2
10,-24.8
11,-81.9
12,-13.2